# PBE-GGA VNiHg3, optimized geometry
data_VNiHg3
_chemical_formula_sum 'V1 Ni1 Hg3'
_cell_length_a 5.2599
_cell_length_b 5.2599
_cell_length_c 5.2599
_cell_angle_alpha 90.00
_cell_angle_beta 90.00
_cell_angle_gamma 90.00
_space_group_name_H-M_alt 'P m -3 m'
_space_group_IT_number 221
_space_group_name_Hall '-P 4 2 3'
loop_
_atom_site_label
_atom_site_fract_x
_atom_site_fract_y
_atom_site_fract_z
V1 0.0000 0.0000 0.0000
Ni1 0.5000 0.5000 0.5000
Hg1 0.0000 0.0000 0.5000
# M_tot	4.067	μB/cell
# polymorph energy (0 for the lowest one)	44.9	kJ/mol of atoms
# energy of formation from the pure elements	5.73	eV/f.u.